(1)
Here is a geometry-optimized Na2ErPuO4 structure from Alexandria. Energies are from PBE-GGA.

Computed properties:
Total magnetic moment ... 5.0 Bohr magnetons per cell
Raw total energy ... -7.762 eV/atom
E_form (uncorrected) ... -2.59 eV per atom

Cell lengths 3.4574, 5.9918, 5.9432 Å; angles 109.74, 90.00, 90.00 degrees
Each line ends with the local moment (μB).
Element x y z (fractional)
O  0.0000  0.2707  0.7881  -0.02
O  0.0000  0.7293  0.2119  -0.02
Er  0.5000  0.5000  0.0000  0.07
Na  0.5000  0.0000  0.5000  0.00
O  0.5000  0.2447  0.2130  -0.06
O  0.5000  0.7553  0.7870  -0.06
Na  0.0000  0.5000  0.5000  0.00
Pu  0.0000  0.0000  0.0000  4.94


(2)
Here is a geometry-optimized Pa2AgI8 structure from Alexandria. Energies are from PBE-GGA.

Computed properties:
Energy relative to the lowest polymorph listed for this composition ... 50 meV/atom
Total magnetic moment ... 3.0 Bohr magnetons per cell
Raw total energy ... -3.708 eV/atom
E_form (uncorrected) ... -0.60 eV per atom

Cell lengths 6.3043, 9.7344, 9.7468 Å; angles 120.00, 89.99, 90.00 degrees
Each line ends with the local moment (μB).
Element x y z (fractional)
I  0.2651  0.6665  0.3331  -0.02
I  0.2510  0.1589  0.8428  -0.02
I  0.2509  0.1575  0.3166  -0.02
Pa  0.7722  0.6665  0.3331  1.47
I  0.7491  0.8425  0.6833  -0.02
Ag  0.0000  0.0000  0.0000  0.00
I  0.7490  0.8411  0.1572  -0.02
I  0.7349  0.3335  0.6669  -0.02
Pa  0.2279  0.3335  0.6669  1.47
I  0.2511  0.6843  0.8413  -0.02
I  0.7489  0.3157  0.1587  -0.02


Number 1 is which compound? Na2ErPuO4